# Li3Cr4PbO12

Li3Cr4PbO12 after structural relaxation (GGA+U, Alexandria via LeMat-Bulk).

The structure in extended XYZ format:
```
20
Lattice="6.387 0.000 0.000 -2.129 6.022 0.000 -2.129 -3.011 5.215" Properties=species:S:1:pos:R:3 pbc="T T T"
Li -2.129 1.505 2.608
Li 2.129 3.011 0.000
Li 2.129 -1.505 2.608
Cr 3.194 0.000 0.000
Cr 1.065 1.505 2.608
Cr -1.065 3.011 0.000
Cr -1.065 -1.505 2.608
Pb 0.000 0.000 0.000
O -0.050 4.552 0.589
O 2.179 -1.541 4.627
O 1.649 3.351 2.668
O 3.778 3.646 0.979
O 4.308 -0.226 1.568
O -0.481 2.036 1.568
O 2.079 1.245 0.979
O -2.179 3.236 3.647
O 0.481 -0.340 2.547
O -1.649 -0.635 4.236
O 2.610 0.975 3.647
O 0.050 1.766 4.236
```

Results
Total energy ... -6.3455 eV per atom
D(E_F) ... 12.35 states/eV per cell